Record 1
Below is crystalline Ta2TiGa2 at its relaxed geometry, with properties calculated at the PBE level.

a b c (Å): 4.6815 7.7409 5.4043
angles (deg): 90.00 90.00 90.00
With the nearest neighbours (Å) after each atom.
Space group Cmmm (No. 65)
One atom of each set of equivalent atoms:
1 Ta 0.0000 0.1624 0.0000  3 Ta 2.51-2.71
2 Ti 0.0000 0.0000 0.5000  4 Ga 2.71, 4 Ta 2.98
3 Ga 0.0000 0.5000 0.2479  2 Ga 2.68-2.73, 2 Ti 2.71, 6 Ta 2.94-2.98

Properties
formation enthalpy at 0 K	310	meV/atom
total moment	0.00	Bohr magnetons per cell
energy	-0.53074	Ry per atom

Record 2
Below is crystalline TaTi8Ga2 at its relaxed geometry, with properties calculated at the PBE level.

a b c (Å): 7.3013 12.5743 4.8182
angles (deg): 90.00 120.97 90.00
With the nearest neighbours (Å) after each atom.
Space group C2/m (No. 12)
One atom of each set of equivalent atoms:
1 Ta 0.0000 0.0000 0.0000  4 Ti 2.63-2.66
2 Ti 0.0000 0.2114 0.0000  1 Ta 2.66, 2 Ga 2.68, 2 Ti 2.93
3 Ti 0.0887 0.5000 0.7917  3 Ti 2.41-2.67, 1 Ta 2.63
4 Ti 0.2115 0.1111 0.6568  5 Ti 2.65-2.93, 2 Ga 2.77-2.79
5 Ga 0.0000 0.3045 0.5000  8 Ti 2.68-2.79

Properties
formation enthalpy at 0 K	-57	meV/atom
total moment	0.00	Bohr magnetons per cell
energy	-0.54585	Ry per atom